Record 1
SiSe2 after structural relaxation, computed with GGA-PBE.

```
SiSe2
1.0
-3.119 -1.785 -0.061
0.861 -1.787 -2.997
2.810 -5.483 3.108
Se Si
2 1
Direct
0.890 0.429 0.048
0.367 0.834 0.479
0.378 0.381 0.263
```

Results
E = -13.50 eV for the cell shown

---

Record 2
SiSe2 after structural relaxation, computed with GGA-PBE.

```
SiSe2
1.0
-1.635 -5.251 1.525
1.871 4.279 3.280
-4.957 2.160 -1.826
Se Si
4 2
Direct
0.295 0.205 0.500
0.705 0.795 0.500
0.205 0.705 0.909
0.795 0.295 0.091
0.000 0.000 0.000
0.500 0.500 0.000
```

Results
E = -24.45 eV for the cell shown

---

Record 3
SiSe2 after structural relaxation, computed with GGA-PBE.

```
SiSe2
1.0
-0.321 -3.314 5.243
0.989 -5.210 -3.232
6.123 0.668 0.796
Si Se
4 8
Direct
0.000 0.500 0.500
0.500 0.500 0.000
0.000 0.000 0.000
0.500 0.000 0.500
0.851 0.149 0.351
0.351 0.149 0.149
0.649 0.851 0.851
0.649 0.649 0.351
0.149 0.649 0.149
0.851 0.351 0.851
0.351 0.351 0.649
0.149 0.851 0.649
```

Results
E = -49.27 eV for the cell shown

---

Record 4
SiSe3 after structural relaxation, computed with GGA-PBE.

```
SiSe3
1.0
7.749 0.027 0.000
5.945 4.971 0.000
-6.847 -2.499 2.631
Se Si
3 1
Direct
0.750 0.250 0.500
0.500 0.500 0.000
0.250 0.750 0.500
0.000 0.000 0.000
```

Results
E = -14.61 eV for the cell shown

---

Record 5
SiSe2 after structural relaxation, computed with GGA-PBE.

```
SiSe2
1.0
1.834 5.981 3.539
-6.438 1.675 2.720
3.711 -6.115 0.704
Si Se
2 4
Direct
0.000 0.000 0.000
0.500 0.000 0.500
0.864 0.629 0.766
0.636 0.902 0.266
0.364 0.098 0.734
0.136 0.371 0.234
```

Results
E = -23.32 eV for the cell shown

---

Record 6
SiSe2 after structural relaxation, computed with GGA-PBE.

```
SiSe2
1.0
5.070 0.000 0.000
-2.535 4.391 0.000
0.000 0.000 2.682
Si Se
1 2
Direct
0.667 0.333 0.333
0.000 0.000 0.332
0.333 0.667 0.334
```

Results
E = -11.27 eV for the cell shown

---

> What is the E in the third record?

-49.27 eV for the cell shown

---

> E of number 6 (SiSe2)?

-11.27 eV for the cell shown